(1)
The following is a DFT calculation (PBE) of ScSi3Ru after structural relaxation.

Geometry as CIF:
```
data_ScSi3Ru
_symmetry_space_group_name_H-M 'P m -3 m'
_symmetry_Int_Tables_number 221
_symmetry_space_group_name_Hall '-P 4 2 3'
_cell_length_a 4.801
_cell_length_b 4.801
_cell_length_c 4.801
_cell_angle_alpha 90.00
_cell_angle_beta 90.00
_cell_angle_gamma 90.00
loop_
_atom_site_label
_atom_site_type_symbol
_atom_site_fract_x
_atom_site_fract_y
_atom_site_fract_z
_atom_site_occupancy
Sc1 Sc 0.000 0.000 0.000 1
Si1 Si 0.000 0.000 0.500 1
Ru1 Ru 0.500 0.500 0.500 1
```

Properties
The formation energy from raw total energies is 1.50 eV per atom. The crystal system is cubic. The spin magnetization is 0.39 μB/atom.

=====

(2)
The following is a DFT calculation (PBE) of Gd2OF after structural relaxation.

Geometry as CIF:
```
data_Gd2OF
_symmetry_space_group_name_H-M 'R -3 m'
_symmetry_Int_Tables_number 166
_symmetry_space_group_name_Hall '-R 3 2"'
_cell_length_a 3.5787
_cell_length_b 3.5787
_cell_length_c 21.7531
_cell_angle_alpha 90.00
_cell_angle_beta 90.00
_cell_angle_gamma 120.00
loop_
_atom_site_label
_atom_site_type_symbol
_atom_site_fract_x
_atom_site_fract_y
_atom_site_fract_z
_atom_site_occupancy
Gd1 Gd 0.0000 0.0000 0.1023 1
O1 O 0.0000 0.0000 0.5000 1
F1 F 0.0000 0.0000 0.0000 1
```

Properties
The formation energy from raw total energies is -2.42 eV per atom. The crystal system is trigonal. The spin magnetization is 3.44 μB/atom.

=====

(3)
The following is a DFT calculation (PBE) of Cs2Ca3NdF12 after structural relaxation.

Geometry as CIF:
```
data_Cs2Ca3NdF12
_symmetry_space_group_name_H-M 'R -3 m'
_symmetry_Int_Tables_number 166
_symmetry_space_group_name_Hall '-R 3 2"'
_cell_length_a 8.2422
_cell_length_b 8.2422
_cell_length_c 21.0070
_cell_angle_alpha 90.00
_cell_angle_beta 90.00
_cell_angle_gamma 120.00
loop_
_atom_site_label
_atom_site_type_symbol
_atom_site_fract_x
_atom_site_fract_y
_atom_site_fract_z
_atom_site_occupancy
Cs1 Cs 0.0000 0.0000 0.1039 1
Ca1 Ca 0.0000 0.5000 0.0000 1
Nd1 Nd 0.0000 0.0000 0.5000 1
F1 F 0.0561 0.5280 0.3565 1
F2 F 0.0700 0.5350 0.1050 1
```

Properties
The formation energy from raw total energies is -3.42 eV per atom. The crystal system is trigonal. The spin magnetization is 0.07 μB/atom.

=====

> What is the spin magnetization in the second record?

3.44 μB/atom